A plane-wave DFT calculation with SCAN was carried out for ZnAgSb2 at its PBEsol-relaxed geometry.

The value obtained for the total DFT energy (no corrections) is -29.60 eV per atom. Its uncorrected formation energy is 252 meV/atom. The calculation puts the total moment at 0.000 μB/atom. The density of states at the Fermi level comes out at 0.4334 states/eV per atom.

Structure (extended XYZ):
```
4
Lattice="-2.042 2.042 5.177 2.042 -2.042 5.177 2.042 2.042 -5.177" Properties=species:S:1:pos:R:3 pbc="T T T"
Zn 0.000 0.000 0.000
Ag 0.000 2.042 2.589
Sb 2.042 0.000 2.589
Sb 0.000 0.000 5.177
```

---

A plane-wave DFT calculation with SCAN was carried out for ZrAgSb4 at its PBEsol-relaxed geometry.

The value obtained for the total DFT energy (no corrections) is -34.73 eV per atom. Its uncorrected formation energy is 459 meV/atom. The calculation puts the total moment at 0.000 μB/atom. The density of states at the Fermi level comes out at 0.8127 states/eV per atom.

Structure (extended XYZ):
```
6
Lattice="0.000 4.243 4.243 4.243 0.000 4.243 4.243 4.243 0.000" Properties=species:S:1:pos:R:3 pbc="T T T"
Zr 0.000 0.000 0.000
Ag 2.122 2.122 2.122
Sb 5.304 3.183 3.183
Sb 3.183 5.304 3.183
Sb 3.183 3.183 5.304
Sb 5.304 5.304 5.304
```

---

A plane-wave DFT calculation with SCAN was carried out for ZrAgSb at its PBEsol-relaxed geometry.

The value obtained for the total DFT energy (no corrections) is -33.29 eV per atom. Its uncorrected formation energy is -181 meV/atom. The calculation puts the total moment at 0.000 μB/atom. The density of states at the Fermi level comes out at 0.3715 states/eV per atom.

Structure (extended XYZ):
```
3
Lattice="0.000 2.623 5.471 2.184 0.000 5.471 2.184 2.623 0.000" Properties=species:S:1:pos:R:3 pbc="T T T"
Zr 0.000 0.000 0.000
Ag 2.184 2.623 7.255
Sb 2.184 2.623 3.550
```

---

A plane-wave DFT calculation with SCAN was carried out for ZrAgSb at its PBEsol-relaxed geometry.

The value obtained for the total DFT energy (no corrections) is -33.13 eV per atom. Its uncorrected formation energy is -19 meV/atom. The calculation puts the total moment at 0.000 μB/atom. The density of states at the Fermi level comes out at 0.7781 states/eV per atom.

Structure (extended XYZ):
```
3
Lattice="0.000 3.269 3.269 3.269 0.000 3.269 3.269 3.269 0.000" Properties=species:S:1:pos:R:3 pbc="T T T"
Zr 0.000 0.000 0.000
Ag 3.269 3.269 3.269
Sb 4.903 4.903 4.903
```

---

A plane-wave DFT calculation with SCAN was carried out for Sc3Ag5 at its PBEsol-relaxed geometry.

The value obtained for the total DFT energy (no corrections) is -25.18 eV per atom. The formation enthalpy at 0 K is -0.24 eV per atom. The calculation puts the total moment at 0.000 μB/atom. The density of states at the Fermi level comes out at 0.6462 states/eV per atom.

Structure (extended XYZ):
```
8
Lattice="3.385 -4.673 0.000 3.385 4.673 0.000 0.000 0.000 4.679" Properties=species:S:1:pos:R:3 pbc="T T T"
Sc 0.000 0.000 0.000
Sc 3.385 2.133 2.339
Sc 3.385 -2.133 2.339
Ag 1.693 2.337 0.000
Ag 1.505 0.000 2.339
Ag 1.693 -2.337 0.000
Ag 3.385 0.000 0.000
Ag 5.265 0.000 2.339
```

---

A plane-wave DFT calculation with SCAN was carried out for Sc5Ag3 at its PBEsol-relaxed geometry.

As for the energy relative to the lowest polymorph listed for this composition: 46 meV per atom. The value obtained for the total DFT energy (no corrections) is -20.85 eV per atom. The formation enthalpy at 0 K is -0.19 eV per atom. The calculation puts the total moment at 0.127 μB/atom. The density of states at the Fermi level comes out at 1.0057 states/eV per atom.

Structure (extended XYZ):
```
8
Lattice="3.510 -4.806 0.000 3.510 4.806 0.000 0.000 0.000 4.790" Properties=species:S:1:pos:R:3 pbc="T T T"
Sc 0.000 0.000 0.000
Sc 1.755 2.403 0.000
Sc 1.924 0.000 2.395
Sc 1.755 -2.403 0.000
Sc 5.095 0.000 2.395
Ag 3.510 2.651 2.395
Ag 3.510 0.000 0.000
Ag 3.510 -2.651 2.395
```